No. 1
First-principles (PBE) data for a relaxed GdErTmTl crystal, as listed in Alexandria.

Cell lengths 5.440, 5.440, 5.440 Å; angles 60.00, 60.00, 60.00 degrees
Element x y z (fractional)
Gd  0.000  0.000  0.000
Er  0.500  0.500  0.500
Tm  0.750  0.750  0.750
Tl  0.250  0.250  0.250

Calculated values
- ΔE_f: -0.21 eV/f.u.
- SG: F-43m, No. 216
- Magnetization: 8.53 μB per cell

No. 2
First-principles (PBE) data for a relaxed GdYErTl crystal, as listed in Alexandria.

Cell lengths 5.473, 5.473, 5.473 Å; angles 60.00, 60.00, 60.00 degrees
Element x y z (fractional)
Gd  0.000  0.000  0.000
Y  0.500  0.500  0.500
Er  0.750  0.750  0.750
Tl  0.250  0.250  0.250

Calculated values
- ΔE_f: -0.27 eV/f.u.
- SG: F-43m, No. 216
- Magnetization: 8.62 μB per cell

No. 3
First-principles (PBE) data for a relaxed GdErTlZn crystal, as listed in Alexandria.

Cell lengths 5.224, 5.224, 5.224 Å; angles 60.00, 60.00, 60.00 degrees
Element x y z (fractional)
Gd  0.000  0.000  0.000
Er  0.500  0.500  0.500
Tl  0.750  0.750  0.750
Zn  0.250  0.250  0.250

Calculated values
- ΔE_f: -1.35 eV/f.u.
- SG: F-43m, No. 216
- Magnetization: 7.82 μB per cell

No. 4
First-principles (PBE) data for a relaxed Gd2ErTm crystal, as listed in Alexandria.

Cell lengths 5.634, 5.634, 5.634 Å; angles 60.00, 60.00, 60.00 degrees
Element x y z (fractional)
Gd  0.250  0.250  0.250
Gd  0.750  0.750  0.750
Er  0.000  0.000  0.000
Tm  0.500  0.500  0.500

Calculated values
- ΔE_f: 0.40 eV/f.u.
- Excess energy over the best structure of this formula in the dataset: 71 meV/atom
- SG: Fm-3m, No. 225
- Magnetization: 15.64 μB per cell

No. 5
First-principles (PBE) data for a relaxed Gd2ErTm crystal, as listed in Alexandria.

Cell lengths 11.695, 11.695, 11.695 Å; angles 17.40, 17.40, 17.40 degrees
Element x y z (fractional)
Gd  0.250  0.250  0.250
Gd  0.750  0.750  0.750
Er  0.500  0.500  0.500
Tm  0.000  0.000  0.000

Calculated values
- ΔE_f: 0.12 eV/f.u.
- Excess energy over the best structure of this formula in the dataset: 0 meV/atom
- SG: R-3m, No. 166
- Magnetization: 14.55 μB per cell

No. 6
First-principles (PBE) data for a relaxed GdEr2Tm crystal, as listed in Alexandria.

Cell lengths 5.617, 5.617, 5.617 Å; angles 60.00, 60.00, 60.00 degrees
Element x y z (fractional)
Gd  0.000  0.000  0.000
Er  0.250  0.250  0.250
Er  0.750  0.750  0.750
Tm  0.500  0.500  0.500

Calculated values
- ΔE_f: 0.49 eV/f.u.
- Excess energy over the best structure of this formula in the dataset: 98 meV/atom
- SG: Fm-3m, No. 225
- Magnetization: 8.77 μB per cell